[1]
Material: ErAlB
Method: DFT, GGA-PBE
State: relaxed

* theoretical density: 5.61 g/cm3
* energy above the most stable polymorph in this dataset: 102.3 kJ/mol of atoms

The structure in POSCAR format:
```
ErAlB
1.0
6.2398 0.0000 0.0000
0.0000 6.2398 0.0000
0.0000 0.0000 6.2398
Er Al B
4 4 4
Direct
0.0000 0.0000 0.0000 Er
0.0000 0.5000 0.5000 Er
0.5000 0.0000 0.5000 Er
0.5000 0.5000 0.0000 Er
0.2500 0.2500 0.7500 Al
0.2500 0.7500 0.2500 Al
0.7500 0.2500 0.2500 Al
0.7500 0.7500 0.7500 Al
0.2500 0.2500 0.2500 B
0.2500 0.7500 0.7500 B
0.7500 0.2500 0.7500 B
0.7500 0.7500 0.2500 B
```



[2]
Material: ErAlB4
Method: DFT, GGA-PBE
State: relaxed

* theoretical density: 6.62 g/cm3
* energy above the most stable polymorph in this dataset: 0.0 kJ/mol of atoms

The structure in POSCAR format:
```
ErAlB4
1.0
3.1104 0.0000 0.0000
-1.5552 2.6937 0.0000
0.0000 0.0000 7.1128
Er Al B
1 1 4
Direct
0.0000 0.0000 0.0000 Er
0.0000 0.0000 0.5000 Al
0.3333 0.6667 0.2769 B
0.3333 0.6667 0.7231 B
0.6667 0.3333 0.2769 B
0.6667 0.3333 0.7231 B
```



[3]
Material: AlFeB4
Method: DFT, GGA-PBE
State: relaxed

* theoretical density: 4.32 g/cm3
* energy above the most stable polymorph in this dataset: 0.0 kJ/mol of atoms

The structure in POSCAR format:
```
AlFeB4
1.0
2.9683 0.0000 0.0000
0.0000 5.1304 0.0000
0.0000 0.0000 6.3576
Al Fe B
2 2 8
Direct
0.0000 0.0000 0.0000 Al
0.5000 0.5000 0.5000 Al
0.0000 0.0000 0.5000 Fe
0.5000 0.5000 0.0000 Fe
0.0000 0.3333 0.2526 B
0.0000 0.3333 0.7474 B
0.0000 0.6667 0.2526 B
0.0000 0.6667 0.7474 B
0.5000 0.1667 0.2474 B
0.5000 0.1667 0.7526 B
0.5000 0.8333 0.2474 B
0.5000 0.8333 0.7526 B
```



[4]
Material: AlFeB2
Method: DFT, GGA-PBE
State: relaxed

* theoretical density: 4.87 g/cm3

The structure in POSCAR format:
```
AlFeB2
1.0
5.2210 0.0000 0.0000
0.0000 5.2210 0.0000
0.0000 0.0000 5.2210
Al Fe B
4 4 8
Direct
0.0000 0.0000 0.0000 Al
0.0000 0.5000 0.5000 Al
0.5000 0.0000 0.5000 Al
0.5000 0.5000 0.0000 Al
0.2500 0.2500 0.2500 Fe
0.2500 0.7500 0.7500 Fe
0.7500 0.2500 0.7500 Fe
0.7500 0.7500 0.2500 Fe
0.0000 0.0000 0.5000 B
0.0000 0.5000 0.0000 B
0.2500 0.2500 0.7500 B
0.2500 0.7500 0.2500 B
0.5000 0.0000 0.0000 B
0.5000 0.5000 0.5000 B
0.7500 0.2500 0.2500 B
0.7500 0.7500 0.7500 B
```



no.,E (eV per cell)
1,-49.482
2,-36.932
3,-78.366
4,-87.380